No. 1
# Ac2SClF2 (PBE, relaxed)
# Formation energy from raw total energies ... -286 kJ per mole of atoms
# Size of the total moment ... 0.00 μB/cell
data_Ac2SClF2
_symmetry_space_group_name_H-M 'P -3 m 1'
_symmetry_Int_Tables_number 164
_symmetry_space_group_name_Hall '-P 3 2"'
_cell_length_a 4.3066
_cell_length_b 4.3066
_cell_length_c 8.2030
_cell_angle_alpha 90.00
_cell_angle_beta 90.00
_cell_angle_gamma 120.00
loop_
_atom_site_label
_atom_site_fract_x
_atom_site_fract_y
_atom_site_fract_z
_atom_site_occupancy
Ac1 0.3333 0.6667 0.2238 1
S1 0.0000 0.0000 0.0000 1
Cl1 0.0000 0.0000 0.5000 1
F1 0.3333 0.6667 0.7233 1


No. 2
# AcUCl2F6 (PBE, relaxed)
# Formation energy from raw total energies ... -306 kJ per mole of atoms
# Size of the total moment ... 1.64 μB/cell
data_AcUCl2F6
_symmetry_space_group_name_H-M 'I m m m'
_symmetry_Int_Tables_number 71
_symmetry_space_group_name_Hall '-I 2 2'
_cell_length_a 6.5088
_cell_length_b 6.5207
_cell_length_c 9.2133
_cell_angle_alpha 90.00
_cell_angle_beta 90.00
_cell_angle_gamma 90.00
loop_
_atom_site_label
_atom_site_fract_x
_atom_site_fract_y
_atom_site_fract_z
_atom_site_occupancy
Ac1 0.0000 0.0000 0.0000 1
U1 0.0000 0.0000 0.5000 1
Cl1 0.0000 0.5000 0.2501 1
F1 0.0000 0.0000 0.2712 1
F2 0.2289 0.2287 0.5000 1


No. 3
# AcFe2Cl8 (PBE, relaxed)
# Formation energy from raw total energies ... -127 kJ per mole of atoms
# Size of the total moment ... 18.00 μB/cell
data_AcFe2Cl8
_symmetry_space_group_name_H-M 'C 1 2/m 1'
_symmetry_Int_Tables_number 12
_symmetry_space_group_name_Hall '-C 2y'
_cell_length_a 13.3889
_cell_length_b 8.5507
_cell_length_c 6.7662
_cell_angle_alpha 90.00
_cell_angle_beta 98.15
_cell_angle_gamma 90.00
loop_
_atom_site_label
_atom_site_fract_x
_atom_site_fract_y
_atom_site_fract_z
_atom_site_occupancy
Ac1 0.0000 0.0000 0.0000 1
Fe1 0.1966 0.0000 0.6517 1
Cl1 0.1078 0.2061 0.7613 1
Cl2 0.1468 0.5000 0.2185 1
Cl3 0.1750 0.0000 0.3108 1


No. 4
# AcFeCl2 (PBE, relaxed)
# Formation energy from raw total energies ... -46 kJ per mole of atoms
# Size of the total moment ... 7.65 μB/cell
data_AcFeCl2
_symmetry_space_group_name_H-M 'R -3 m'
_symmetry_Int_Tables_number 166
_symmetry_space_group_name_Hall '-R 3 2"'
_cell_length_a 3.8371
_cell_length_b 3.8371
_cell_length_c 25.6130
_cell_angle_alpha 90.00
_cell_angle_beta 90.00
_cell_angle_gamma 120.00
loop_
_atom_site_label
_atom_site_fract_x
_atom_site_fract_y
_atom_site_fract_z
_atom_site_occupancy
Ac1 0.0000 0.0000 0.0000 1
Fe1 0.0000 0.0000 0.5000 1
Cl1 0.0000 0.0000 0.1172 1


No. 5
# AcGa2Cl8 (PBE, relaxed)
# Formation energy from raw total energies ... -136 kJ per mole of atoms
# Size of the total moment ... 0.00 μB/cell
data_AcGa2Cl8
_symmetry_space_group_name_H-M 'C 1 2/m 1'
_symmetry_Int_Tables_number 12
_symmetry_space_group_name_Hall '-C 2y'
_cell_length_a 13.4679
_cell_length_b 7.9513
_cell_length_c 7.1209
_cell_angle_alpha 90.00
_cell_angle_beta 102.74
_cell_angle_gamma 90.00
loop_
_atom_site_label
_atom_site_fract_x
_atom_site_fract_y
_atom_site_fract_z
_atom_site_occupancy
Ac1 0.0000 0.0000 0.0000 1
Ga1 0.2000 0.0000 0.6717 1
Cl1 0.1100 0.2167 0.7797 1
Cl2 0.1349 0.5000 0.2042 1
Cl3 0.1718 0.0000 0.3308 1


No. 6
# Ac2GaCl (PBE, relaxed)
# Energy above the most stable polymorph in this dataset ... 0.1306 eV per atom
# Formation energy from raw total energies ... -87 kJ per mole of atoms
# Size of the total moment ... 0.00 μB/cell
data_Ac2GaCl
_symmetry_space_group_name_H-M 'P 4/m m m'
_symmetry_Int_Tables_number 123
_symmetry_space_group_name_Hall '-P 4 2'
_cell_length_a 3.7509
_cell_length_b 3.7509
_cell_length_c 8.3721
_cell_angle_alpha 90.00
_cell_angle_beta 90.00
_cell_angle_gamma 90.00
loop_
_atom_site_label
_atom_site_fract_x
_atom_site_fract_y
_atom_site_fract_z
_atom_site_occupancy
Ac1 0.0000 0.0000 0.2380 1
Ga1 0.5000 0.5000 0.0000 1
Cl1 0.5000 0.5000 0.5000 1


No. 7
# Ac2GaCl (PBE, relaxed)
# Energy above the most stable polymorph in this dataset ... 0.1338 eV per atom
# Formation energy from raw total energies ... -87 kJ per mole of atoms
# Size of the total moment ... 0.00 μB/cell
data_Ac2GaCl
_symmetry_space_group_name_H-M 'R 3 m'
_symmetry_Int_Tables_number 160
_symmetry_space_group_name_Hall 'R 3 -2"'
_cell_length_a 4.5208
_cell_length_b 4.5208
_cell_length_c 23.5168
_cell_angle_alpha 90.00
_cell_angle_beta 90.00
_cell_angle_gamma 120.00
loop_
_atom_site_label
_atom_site_fract_x
_atom_site_fract_y
_atom_site_fract_z
_atom_site_occupancy
Ac1 0.0000 0.0000 0.0000 1
Ac2 0.0000 0.0000 0.1855 1
Ga1 0.0000 0.0000 0.5929 1
Cl1 0.0000 0.0000 0.4201 1


No. 8
# Ac2GaCl (PBE, relaxed)
# Energy above the most stable polymorph in this dataset ... 0.0000 eV per atom
# Formation energy from raw total energies ... -100 kJ per mole of atoms
# Size of the total moment ... 0.00 μB/cell
data_Ac2GaCl
_symmetry_space_group_name_H-M 'P m n a'
_symmetry_Int_Tables_number 53
_symmetry_space_group_name_Hall '-P 2ac 2'
_cell_length_a 6.3378
_cell_length_b 6.3367
_cell_length_c 12.9926
_cell_angle_alpha 90.00
_cell_angle_beta 90.00
_cell_angle_gamma 90.00
loop_
_atom_site_label
_atom_site_fract_x
_atom_site_fract_y
_atom_site_fract_z
_atom_site_occupancy
Ac1 0.0000 0.2490 0.1206 1
Ac2 0.0000 0.2510 0.6294 1
Ga1 0.0000 0.2509 0.8750 1
Cl1 0.0000 0.2490 0.3750 1